## SiTcOs (PBE)

Data for SiTcOs after structural relaxation.

Properties
- E above lowest polymorph (meV per atom) = 456.7
- space group = Fmm2, No. 42

a b c (Å): 6.645 6.381 2.762
angles (deg): 83.19 72.44 24.37
Fractional positions:
Os 0.990 0.990 0.010
Tc 0.676 0.676 0.324
Si 0.334 0.334 0.666



## UCo5 (PBE)

Data for UCo5 after structural relaxation.

Properties
- space group = R-3m, No. 166
- ΔH_f (0 K) (eV per atom) = -0.08

a b c (Å): 12.249 12.249 12.249
angles (deg): 22.41 22.41 22.41
Last column: magnetic moment on the atom in μB.
Fractional positions:
Co 0.221 0.221 0.221  -1.21
Co 0.063 0.554 0.554  -1.12
Co 0.333 0.333 0.333  -1.08
Co 0.554 0.554 0.063  -1.12
Co 0.464 0.464 0.464  -1.59
Co 0.000 0.500 0.000  -1.38
Co 0.667 0.667 0.667  -1.08
Co 0.500 0.000 0.000  -1.38
Co 0.446 0.446 0.937  -1.12
Co 0.554 0.063 0.554  -1.12
Co 0.937 0.446 0.446  -1.12
Co 0.446 0.937 0.446  -1.12
Co 0.536 0.536 0.536  -1.59
Co 0.000 0.000 0.500  -1.38
Co 0.779 0.779 0.779  -1.21
U 0.000 0.000 0.000  1.88
U 0.100 0.100 0.100  1.79
U 0.900 0.900 0.900  1.79



## NdBe4Au8 (PBE)

Data for NdBe4Au8 after structural relaxation.

Properties
- E above lowest polymorph (meV per atom) = 0.0
- space group = I4/mmm, No. 139
- ΔH_f (0 K) (eV per atom) = -0.26

a b c (Å): 5.250 6.865 6.865
angles (deg): 81.59 67.52 67.52
Fractional positions:
Au 0.500 0.778 0.222
Au 0.500 0.222 0.778
Au 0.722 0.778 0.778
Au 0.000 0.667 0.333
Au 0.000 0.333 0.667
Au 0.333 0.667 0.667
Au 0.278 0.222 0.222
Au 0.667 0.333 0.333
Be 0.000 0.000 0.500
Be 0.000 0.500 0.000
Be 0.500 0.500 0.000
Be 0.500 0.000 0.500
Nd 0.000 0.000 0.000



## NaEuZnHg (PBE)

Data for NaEuZnHg after structural relaxation.

Properties
- space group = F-43m, No. 216
- ΔH_f (0 K) (eV per atom) = -0.22

a b c (Å): 5.302 5.302 5.302
angles (deg): 60.00 60.00 60.00
Last column: magnetic moment on the atom in μB.
Fractional positions:
Eu 0.750 0.750 0.750  6.93
Zn 0.000 0.000 0.000  0.04
Hg 0.500 0.500 0.500  0.05
Na 0.250 0.250 0.250  0.01



## ReRuBr (PBE)

Data for ReRuBr after structural relaxation.

Properties
- E above lowest polymorph (meV per atom) = 24.7
- space group = I4mm, No. 107

a b c (Å): 6.110 6.110 6.110
angles (deg): 151.87 151.87 40.20
Fractional positions:
Re 0.320 0.320 0.000
Br 0.991 0.991 0.000
Ru 0.689 0.689 0.000



## Pr2WN4 (PBE)

Data for Pr2WN4 after structural relaxation.

Properties
- E above lowest polymorph (meV per atom) = 0.0
- space group = Fddd, No. 70

a b c (Å): 6.320 6.320 7.369
angles (deg): 104.24 104.24 115.23
Fractional positions:
Pr 0.434 0.566 0.750
Pr 0.566 0.434 0.250
Pr 0.816 0.184 0.750
Pr 0.184 0.816 0.250
N 0.243 0.221 0.896
N 0.779 0.757 0.604
N 0.757 0.779 0.104
N 0.325 0.847 0.604
N 0.221 0.243 0.396
N 0.153 0.675 0.896
N 0.675 0.153 0.396
N 0.847 0.325 0.104
W 0.125 0.875 0.750
W 0.875 0.125 0.250